The following is a PBE-GGA calculation of Sr2AgCl after structural relaxation, from Alexandria via LeMat-Bulk.

Calculated values
Calculated total energy in eV per atom: -2.85
Formation energy from raw total energies in kJ/mol of formula units: -320
Energy relative to the lowest polymorph listed for this composition in meV per atom: 147

a b c (Å): 5.417 6.013 3.777
angles (deg): 90.00 90.00 90.00
Fractional positions:
Ag 0.500 0.000 0.500
Cl 0.000 0.500 0.500
Sr 0.000 0.000 0.000
Sr 0.500 0.500 0.000